# 1
{
  "formula": "TbPtAu",
  "functional": "PBE-GGA",
  "state": "relaxed",
  "formation_enthalpy_0k_kj_per_mol_atoms": -91,
  "dos_ef_per_ev_atom": 0.514,
  "e_above_lowest_polymorph_mev_per_atom": 0.0,
  "magnetic_moment_mub_per_cell": 0.00,
  "lattice": [[6.735, 0.000, 0.000], [0.000, 5.460, 0.000], [-2.480, 0.000, 6.925]],
  "species": ["Tb", "Tb", "Tb", "Tb", "Pt", "Pt", "Pt", "Pt", "Au", "Au", "Au", "Au"],
  "frac_coords": [[0.192, 0.128, 0.373], [0.192, 0.372, 0.873], [0.808, 0.628, 0.127], [0.808, 0.872, 0.627], [0.160, 0.648, 0.511], [0.160, 0.852, 0.011], [0.840, 0.148, 0.989], [0.840, 0.352, 0.489], [0.439, 0.584, 0.297], [0.439, 0.916, 0.797], [0.561, 0.084, 0.203], [0.561, 0.416, 0.703]]
}

***

# 2
{
  "formula": "Rb2AlPdF6",
  "functional": "PBE-GGA",
  "state": "relaxed",
  "formation_energy_uncorrected_ev_per_atom": -2.650,
  "dos_ef_per_ev_atom": 0.000,
  "e_above_lowest_polymorph_mev_per_atom": 0.0,
  "magnetic_moment_mub_per_cell": 1.00,
  "lattice": [[-3.143, 3.143, 4.064], [3.143, -3.143, 4.064], [3.143, 3.143, -4.064]],
  "species": ["Rb", "Rb", "Al", "Pd", "F", "F", "F", "F", "F", "F"],
  "frac_coords": [[0.250, 0.750, 0.500], [0.750, 0.250, 0.500], [0.000, 0.000, 0.000], [0.500, 0.500, 0.000], [0.205, 0.205, 0.411], [0.205, 0.795, 0.000], [0.231, 0.231, 0.000], [0.769, 0.769, 0.000], [0.795, 0.205, 0.000], [0.795, 0.795, 0.589]]
}

***

# 3
{
  "formula": "Na4Ge2Pt3",
  "functional": "PBE-GGA",
  "state": "relaxed",
  "formation_enthalpy_0k_kj_per_mol_atoms": -29,
  "dos_ef_per_ev_atom": 0.278,
  "magnetic_moment_mub_per_cell": 0.00,
  "lattice": [[8.588, -1.626, 0.000], [8.588, 1.626, 0.000], [-3.112, 0.000, 6.972]],
  "species": ["Na", "Na", "Na", "Na", "Ge", "Ge", "Pt", "Pt", "Pt"],
  "frac_coords": [[0.087, 0.087, 0.359], [0.237, 0.237, 0.784], [0.763, 0.763, 0.216], [0.913, 0.913, 0.641], [0.106, 0.106, 0.950], [0.894, 0.894, 0.050], [0.433, 0.433, 0.320], [0.500, 0.500, 0.000], [0.567, 0.567, 0.680]]
}